Record 1
Tb2Nd4DyTm2, relaxed, DFT PBE; ρ = 7.83 g cm⁻³; E_form = 0.022 eV per atom; space-group type = C2/m (12); magnetic moment = 0.00 μB per formula unit
1.0
7.643 -2.543 0.000
7.643 2.543 0.000
-2.542 0.000 7.612
Tb Nd Dy Tm
2 4 1 2
direct
0.111 0.111 0.170
0.889 0.889 0.830
0.223 0.223 0.831
0.446 0.446 0.170
0.554 0.554 0.830
0.777 0.777 0.169
0.000 0.000 0.500
0.333 0.333 0.500
0.667 0.667 0.500

Record 2
TbNdDy2Tm2, relaxed, DFT PBE; ρ = 8.22 g cm⁻³; E_form = 0.168 eV per atom; space-group type = Pnnm (58); magnetic moment = 0.00 μB per formula unit
1.0
6.937 0.000 0.000
0.000 16.016 0.000
0.000 0.000 3.515
Tb Nd Dy Tm
2 2 4 4
direct
0.000 0.000 0.000
0.500 0.500 0.500
0.000 0.500 0.500
0.500 0.000 0.000
0.249 0.159 0.500
0.251 0.659 0.000
0.749 0.341 0.000
0.751 0.841 0.500
0.250 0.345 0.000
0.250 0.845 0.500
0.750 0.155 0.500
0.750 0.655 0.000

Record 3
TbNd2Dy2Tm, relaxed, DFT PBE; ρ = 8.05 g cm⁻³; E_form = 0.064 eV per atom; space-group type = Pmma (51); magnetic moment = 0.00 μB per formula unit
1.0
7.015 0.000 0.000
0.000 5.652 0.000
0.000 0.000 9.793
Tb Nd Dy Tm
2 4 4 2
direct
0.250 0.000 0.157
0.750 0.000 0.843
0.000 0.000 0.500
0.250 0.500 0.679
0.500 0.000 0.500
0.750 0.500 0.321
0.250 0.000 0.831
0.250 0.500 0.337
0.750 0.000 0.169
0.750 0.500 0.663
0.000 0.500 0.000
0.500 0.500 0.000

Record 4
Tb2Nd3Dy6Tm, relaxed, DFT PBE; ρ = 8.12 g cm⁻³; E_form = 0.017 eV per atom; space-group type = C2/m (12); magnetic moment = 0.00 μB per formula unit
1.0
3.098 -5.364 0.000
3.098 5.364 0.000
-2.059 0.000 11.650
Tb Nd Dy Tm
2 3 6 1
direct
0.167 0.833 0.000
0.833 0.167 0.000
0.000 0.000 0.500
0.333 0.667 0.500
0.667 0.333 0.500
0.085 0.418 0.754
0.249 0.249 0.246
0.418 0.085 0.754
0.582 0.915 0.246
0.751 0.751 0.754
0.915 0.582 0.246
0.500 0.500 0.000

Record 5
Tb2Nd4DyTm, relaxed, DFT PBE; ρ = 7.67 g cm⁻³; E_form = 0.014 eV per atom; space-group type = Pmmm (47); magnetic moment = 0.00 μB per formula unit
1.0
5.119 0.000 0.000
0.000 5.148 0.000
0.000 0.000 10.078
Tb Nd Dy Tm
2 4 1 1
direct
0.000 0.000 0.000
0.500 0.500 0.500
0.000 0.500 0.249
0.000 0.500 0.751
0.500 0.000 0.249
0.500 0.000 0.751
0.000 0.000 0.500
0.500 0.500 0.000

Record 6
TbNd4Dy2Tm2, relaxed, DFT PBE; ρ = 7.86 g cm⁻³; E_form = 0.022 eV per atom; space-group type = C2/m (12); magnetic moment = 0.00 μB per formula unit
1.0
7.637 -2.539 0.000
7.637 2.539 0.000
-2.534 0.000 7.618
Tb Nd Dy Tm
1 4 2 2
direct
0.000 0.000 0.000
0.223 0.223 0.331
0.446 0.446 0.670
0.554 0.554 0.330
0.777 0.777 0.669
0.111 0.111 0.670
0.889 0.889 0.330
0.332 0.332 0.000
0.668 0.668 0.000

Record 7
Tb6Nd3DyTm2, relaxed, DFT PBE; ρ = 8.07 g cm⁻³; E_form = 0.019 eV per atom; space-group type = C2/m (12); magnetic moment = 0.00 μB per formula unit
1.0
3.100 -5.367 0.000
3.100 5.367 0.000
-2.061 0.000 11.667
Tb Nd Dy Tm
6 3 1 2
direct
0.084 0.418 0.755
0.248 0.248 0.245
0.418 0.084 0.755
0.582 0.916 0.245
0.752 0.752 0.755
0.916 0.582 0.245
0.000 0.000 0.500
0.333 0.667 0.500
0.667 0.333 0.500
0.500 0.500 0.000
0.167 0.833 0.000
0.833 0.167 0.000

Record 8
Tb2Nd6Dy3Tm, relaxed, DFT PBE; ρ = 7.69 g cm⁻³; E_form = 0.012 eV per atom; space-group type = C2/m (12); magnetic moment = 0.00 μB per formula unit
1.0
3.135 -5.430 0.000
3.135 5.430 0.000
-2.083 0.000 11.676
Tb Nd Dy Tm
2 6 3 1
direct
0.167 0.833 0.000
0.833 0.167 0.000
0.084 0.416 0.750
0.251 0.251 0.250
0.416 0.084 0.750
0.584 0.916 0.250
0.749 0.749 0.750
0.916 0.584 0.250
0.000 0.000 0.500
0.333 0.667 0.500
0.667 0.333 0.500
0.500 0.500 0.000